No. 1
# Tl2CuAgSe4

Crystalline Tl2CuAgSe4 at its relaxed geometry (GGA-PBE, the Alexandria database).

```
data_Tl2CuAgSe4
_cell_length_a 7.5256
_cell_length_b 7.5256
_cell_length_c 6.0724
_cell_angle_alpha 113.79
_cell_angle_beta 113.79
_cell_angle_gamma 110.41
_symmetry_space_group_name_H-M 'P 1'
_symmetry_Int_Tables_number 1
_symmetry_space_group_name_Hall 'P 1'
loop_
_atom_site_label
_atom_site_type_symbol
_atom_site_fract_x
_atom_site_fract_y
_atom_site_fract_z
Tl1 Tl 0.0000 0.0000 0.0000
Tl2 Tl 0.7498 0.2502 0.5000
Cu1 Cu 0.4994 0.5006 0.0000
Ag1 Ag 0.2497 0.7503 0.5000
Se1 Se 0.1611 0.3974 0.5461
Se2 Se 0.3844 0.1491 0.9871
Se3 Se 0.6026 0.8389 0.4539
Se4 Se 0.8509 0.6156 0.0129
```

Results
- raw formation energy (kJ/mol of atoms) = -21.05

=====

No. 2
# CaAc2ErSe5

Crystalline CaAc2ErSe5 at its relaxed geometry (GGA-PBE, the Alexandria database).

```
data_CaAc2ErSe5
_cell_length_a 5.1400
_cell_length_b 5.1400
_cell_length_c 10.9514
_cell_angle_alpha 90.00
_cell_angle_beta 90.00
_cell_angle_gamma 90.00
_symmetry_space_group_name_H-M 'P 1'
_symmetry_Int_Tables_number 1
_symmetry_space_group_name_Hall 'P 1'
loop_
_atom_site_label
_atom_site_type_symbol
_atom_site_fract_x
_atom_site_fract_y
_atom_site_fract_z
Ca1 Ca 0.0000 0.0000 0.0000
Ac1 Ac 0.5000 0.5000 0.2902
Ac2 Ac 0.5000 0.5000 0.7098
Er1 Er 0.0000 0.0000 0.5000
Se1 Se 0.0000 0.0000 0.2462
Se2 Se 0.0000 0.0000 0.7538
Se3 Se 0.0000 0.5000 0.5000
Se4 Se 0.5000 0.0000 0.5000
Se5 Se 0.5000 0.5000 0.0000
```

Results
- raw formation energy (kJ/mol of atoms) = -157.28

=====

No. 3
# Tb3TeAsS

Crystalline Tb3TeAsS at its relaxed geometry (GGA-PBE, the Alexandria database).

```
data_Tb3TeAsS
_cell_length_a 8.0562
_cell_length_b 8.0562
_cell_length_c 6.8573
_cell_angle_alpha 97.44
_cell_angle_beta 97.44
_cell_angle_gamma 129.49
_symmetry_space_group_name_H-M 'P 1'
_symmetry_Int_Tables_number 1
_symmetry_space_group_name_Hall 'P 1'
loop_
_atom_site_label
_atom_site_type_symbol
_atom_site_fract_x
_atom_site_fract_y
_atom_site_fract_z
Tb1 Tb 0.1795 0.3146 0.0011
Tb2 Tb 0.2456 0.7544 0.7500
Tb3 Tb 0.3146 0.1795 0.5011
Tb4 Tb 0.6854 0.8205 0.4989
Tb5 Tb 0.7544 0.2456 0.2500
Tb6 Tb 0.8205 0.6854 0.9989
Te1 Te 0.2500 0.7500 0.2500
Te2 Te 0.7500 0.2500 0.7500
As1 As 0.4341 0.5659 0.7500
As2 As 0.5659 0.4341 0.2500
S1 S 0.0589 0.9411 0.7500
S2 S 0.9411 0.0589 0.2500
```

Results
- raw formation energy (kJ/mol of atoms) = -135.18

=====

No. 4
# BaFe3Tc

Crystalline BaFe3Tc at its relaxed geometry (GGA-PBE, the Alexandria database).

```
data_BaFe3Tc
_cell_length_a 4.8079
_cell_length_b 4.8079
_cell_length_c 4.8079
_cell_angle_alpha 90.00
_cell_angle_beta 90.00
_cell_angle_gamma 90.00
_symmetry_space_group_name_H-M 'P 1'
_symmetry_Int_Tables_number 1
_symmetry_space_group_name_Hall 'P 1'
loop_
_atom_site_label
_atom_site_type_symbol
_atom_site_fract_x
_atom_site_fract_y
_atom_site_fract_z
Ba1 Ba 0.0000 0.0000 0.0000
Fe1 Fe 0.0000 0.0000 0.5000
Fe2 Fe 0.0000 0.5000 0.0000
Fe3 Fe 0.5000 0.0000 0.0000
Tc1 Tc 0.5000 0.5000 0.5000
```

Results
- energy of formation from the pure elements (eV per atom) = 2.7170
- offset from the most stable computed form (meV per atom) = 1742

=====

No. 5
# RbMg2TlIn4

Crystalline RbMg2TlIn4 at its relaxed geometry (GGA-PBE, the Alexandria database).

```
data_RbMg2TlIn4
_cell_length_a 11.6582
_cell_length_b 11.6582
_cell_length_c 11.6582
_cell_angle_alpha 25.71
_cell_angle_beta 25.71
_cell_angle_gamma 25.71
_symmetry_space_group_name_H-M 'P 1'
_symmetry_Int_Tables_number 1
_symmetry_space_group_name_Hall 'P 1'
loop_
_atom_site_label
_atom_site_type_symbol
_atom_site_fract_x
_atom_site_fract_y
_atom_site_fract_z
Rb1 Rb 0.0000 0.0000 0.0000
Mg1 Mg 0.2103 0.2103 0.2103
Mg2 Mg 0.7897 0.7897 0.7897
Tl1 Tl 0.5000 0.5000 0.5000
In1 In 0.1126 0.1126 0.1126
In2 In 0.4085 0.4085 0.4085
In3 In 0.5915 0.5915 0.5915
In4 In 0.8874 0.8874 0.8874
```

Results
- energy of formation from the pure elements (eV per atom) = -0.0234

=====

No. 6
# Na2Zr2O5

Crystalline Na2Zr2O5 at its relaxed geometry (GGA-PBE, the Alexandria database).

```
data_Na2Zr2O5
_cell_length_a 4.0350
_cell_length_b 4.0350
_cell_length_c 8.2127
_cell_angle_alpha 90.00
_cell_angle_beta 90.00
_cell_angle_gamma 90.00
_symmetry_space_group_name_H-M 'P 1'
_symmetry_Int_Tables_number 1
_symmetry_space_group_name_Hall 'P 1'
loop_
_atom_site_label
_atom_site_type_symbol
_atom_site_fract_x
_atom_site_fract_y
_atom_site_fract_z
Na1 Na 0.0000 0.0000 0.0000
Na2 Na 0.0000 0.0000 0.5000
Zr1 Zr 0.5000 0.5000 0.2473
Zr2 Zr 0.5000 0.5000 0.7527
O1 O 0.0000 0.5000 0.3012
O2 O 0.0000 0.5000 0.6988
O3 O 0.5000 0.0000 0.3012
O4 O 0.5000 0.0000 0.6988
O5 O 0.5000 0.5000 0.0000
```

Results
- raw formation energy (kJ/mol of atoms) = -254.20

=====

No. 7
# CrPb

Crystalline CrPb at its relaxed geometry (GGA-PBE, the Alexandria database).

```
data_CrPb
_cell_length_a 4.5333
_cell_length_b 5.4043
_cell_length_c 5.4043
_cell_angle_alpha 101.02
_cell_angle_beta 90.00
_cell_angle_gamma 90.00
_symmetry_space_group_name_H-M 'P 1'
_symmetry_Int_Tables_number 1
_symmetry_space_group_name_Hall 'P 1'
loop_
_atom_site_label
_atom_site_type_symbol
_atom_site_fract_x
_atom_site_fract_y
_atom_site_fract_z
Cr1 Cr 0.0000 0.0000 0.0000
Cr2 Cr 0.5000 0.1240 0.8894
Cr3 Cr 0.5000 0.8894 0.1240
Pb1 Pb 0.0000 0.0880 0.5114
Pb2 Pb 0.0000 0.5114 0.0880
Pb3 Pb 0.5000 0.6058 0.6058
```

Results
- energy of formation from the pure elements (eV per atom) = 0.6209

=====

No. 8
# CuAgCl2F

Crystalline CuAgCl2F at its relaxed geometry (GGA-PBE, the Alexandria database).

```
data_CuAgCl2F
_cell_length_a 7.2137
_cell_length_b 3.6398
_cell_length_c 7.2745
_cell_angle_alpha 90.00
_cell_angle_beta 103.64
_cell_angle_gamma 90.00
_symmetry_space_group_name_H-M 'P 1'
_symmetry_Int_Tables_number 1
_symmetry_space_group_name_Hall 'P 1'
loop_
_atom_site_label
_atom_site_type_symbol
_atom_site_fract_x
_atom_site_fract_y
_atom_site_fract_z
Cu1 Cu 0.1791 0.2500 0.1681
Cu2 Cu 0.8209 0.7500 0.8319
Ag1 Ag 0.3473 0.2500 0.6823
Ag2 Ag 0.6527 0.7500 0.3177
Cl1 Cl 0.1430 0.7500 0.8973
Cl2 Cl 0.2169 0.7500 0.4124
Cl3 Cl 0.7831 0.2500 0.5876
Cl4 Cl 0.8570 0.2500 0.1027
F1 F 0.4462 0.2500 0.1871
F2 F 0.5538 0.7500 0.8129
```

Results
- offset from the most stable computed form (meV per atom) = 0
- raw formation energy (kJ/mol of atoms) = -67.20